Record 1
Entry from Alexandria via LeMat-Bulk: a relaxed structure of Ac2TlAu (PBE-GGA).

a = 3.9508 Å, b = 3.9508 Å, c = 8.3288 Å
α = 90.00°, β = 90.00°, γ = 90.00°
Atoms (fractional coordinates):
Ac (0.0000, 0.0000, 0.7727)
Ac (0.0000, 0.0000, 0.2273)
Au (0.5000, 0.5000, 0.0000)
Tl (0.5000, 0.5000, 0.5000)

## Properties
Its space-group type is P4/mmm, No. 123.


Record 2
Entry from Alexandria via LeMat-Bulk: a relaxed structure of Ac4Tl2Au (PBE-GGA).

a = 5.7070 Å, b = 5.7070 Å, c = 9.8376 Å
α = 73.14°, β = 73.14°, γ = 60.00°
Atoms (fractional coordinates):
Ac (0.3715, 0.3715, 0.8856)
Ac (0.8789, 0.8789, 0.3633)
Au (0.0000, 0.0000, 0.0000)
Tl (0.7547, 0.7547, 0.7359)
Ac (0.6285, 0.6285, 0.1144)
Ac (0.1211, 0.1211, 0.6367)
Tl (0.2453, 0.2453, 0.2641)

## Properties
Its space-group type is R-3m, No. 166.


Record 3
Entry from Alexandria via LeMat-Bulk: a relaxed structure of AcTl2Au (PBE-GGA).

a = 3.9483 Å, b = 3.9483 Å, c = 10.6820 Å
α = 79.35°, β = 79.35°, γ = 60.00°
Atoms (fractional coordinates):
Au (0.5000, 0.5000, 0.5000)
Tl (0.8920, 0.8920, 0.3241)
Tl (0.1080, 0.1080, 0.6759)
Ac (0.0000, 0.0000, 0.0000)

## Properties
Its space-group type is R-3m, No. 166.


Record 4
Entry from Alexandria via LeMat-Bulk: a relaxed structure of AcTl3Au8 (PBE-GGA).

a = 5.7560 Å, b = 5.7560 Å, c = 10.0062 Å
α = 73.28°, β = 73.28°, γ = 60.00°
Atoms (fractional coordinates):
Au (0.4391, 0.4391, 0.1866)
Au (0.9386, 0.4380, 0.6849)
Au (0.4380, 0.9386, 0.6849)
Au (0.9386, 0.9386, 0.6849)
Tl (0.4938, 0.4938, 0.5185)
Au (0.4391, 0.9352, 0.1866)
Au (0.1882, 0.1882, 0.4353)
Au (0.6885, 0.6885, 0.9345)
Au (0.9352, 0.4391, 0.1866)
Tl (0.0030, 0.0030, 0.9911)
Ac (0.8764, 0.8764, 0.3708)
Tl (0.3715, 0.3715, 0.8854)

## Properties
Its space-group type is R3m, No. 160.


Record 5
Entry from Alexandria via LeMat-Bulk: a relaxed structure of AcTl2Au2 (PBE-GGA).

a = 4.3940 Å, b = 5.2839 Å, c = 11.9107 Å
α = 91.00°, β = 90.00°, γ = 90.00°
Atoms (fractional coordinates):
Au (0.7500, 0.2560, 0.3521)
Au (0.2500, 0.3352, 0.9716)
Tl (0.2500, 0.8467, 0.8800)
Tl (0.7500, 0.1533, 0.1200)
Ac (0.7500, 0.3297, 0.7616)
Tl (0.2500, 0.2413, 0.5173)
Au (0.2500, 0.7440, 0.6479)
Tl (0.7500, 0.7587, 0.4827)
Au (0.7500, 0.6648, 0.0284)
Ac (0.2500, 0.6703, 0.2384)

## Properties
Its space-group type is P2_1/m, No. 11.


Record 6
Entry from Alexandria via LeMat-Bulk: a relaxed structure of Ac3TlAu5 (PBE-GGA).

a = 8.7072 Å, b = 8.7072 Å, c = 9.2627 Å
α = 118.04°, β = 118.04°, γ = 90.00°
Atoms (fractional coordinates):
Au (0.4591, 0.3508, 0.3100)
Ac (0.2500, 0.2500, 0.5000)
Ac (0.8607, 0.6393, 0.0000)
Ac (0.6393, 0.1393, 0.0000)
Au (0.5409, 0.6492, 0.6900)
Au (0.8508, 0.9591, 0.3100)
Au (0.1492, 0.0409, 0.6900)
Tl (0.7500, 0.2500, 0.5000)
Au (0.3508, 0.8508, 0.3100)
Au (0.6492, 0.1492, 0.6900)
Ac (0.1393, 0.3607, 0.0000)
Au (0.0000, 0.0000, 0.0000)
Ac (0.7500, 0.7500, 0.5000)
Au (0.5000, 0.5000, 0.0000)
Ac (0.3607, 0.8607, 0.0000)
Au (0.9591, 0.4591, 0.3100)
Au (0.0409, 0.5409, 0.6900)
Tl (0.2500, 0.7500, 0.5000)

## Properties
Its space-group type is I4/mcm, No. 140.


Record 7
Entry from Alexandria via LeMat-Bulk: a relaxed structure of Ac6Tl3Au (PBE-GGA).

a = 7.2099 Å, b = 9.5672 Å, c = 11.4528 Å
α = 90.00°, β = 87.70°, γ = 90.00°
Atoms (fractional coordinates):
Ac (0.8636, 0.6656, 0.5630)
Tl (0.5807, 0.8850, 0.7409)
Ac (0.6596, 0.4357, 0.2584)
Tl (0.9193, 0.3850, 0.7591)
Tl (0.4193, 0.1150, 0.2591)
Ac (0.8404, 0.9357, 0.2416)
Ac (0.6364, 0.1656, 0.9370)
Ac (0.3809, 0.8129, 0.4331)
Ac (0.1364, 0.3344, 0.4370)
Tl (0.0807, 0.6150, 0.2409)
Ac (0.1596, 0.0643, 0.7584)
Ac (0.3404, 0.5643, 0.7416)
Ac (0.3636, 0.8344, 0.0630)
Au (0.0000, 0.0000, 0.0000)
Tl (0.0000, 0.0000, 0.5000)
Au (0.5000, 0.5000, 0.5000)
Tl (0.5000, 0.5000, 0.0000)
Ac (0.1191, 0.3129, 0.0669)
Ac (0.8809, 0.6871, 0.9331)
Ac (0.6191, 0.1871, 0.5669)

## Properties
Its space-group type is P2_1/c, No. 14.


Record 8
Entry from Alexandria via LeMat-Bulk: a relaxed structure of AcTlAu10 (PBE-GGA).

a = 4.6726 Å, b = 5.7637 Å, c = 9.8356 Å
α = 90.00°, β = 90.00°, γ = 90.00°
Atoms (fractional coordinates):
Au (0.5000, 0.5000, 0.0000)
Au (0.5000, 0.2402, 0.2390)
Ac (0.0000, 0.0000, 0.0000)
Au (0.5000, 0.0000, 0.5000)
Au (0.0000, 0.5000, 0.1787)
Au (0.5000, 0.2402, 0.7610)
Au (0.0000, 0.0000, 0.6607)
Au (0.5000, 0.7598, 0.2390)
Au (0.0000, 0.0000, 0.3393)
Au (0.5000, 0.7598, 0.7610)
Tl (0.0000, 0.5000, 0.5000)
Au (0.0000, 0.5000, 0.8213)

## Properties
Its space-group type is Pmmm, No. 47.


Record 9
Entry from Alexandria via LeMat-Bulk: a relaxed structure of AcTl2Au (PBE-GGA).

a = 3.8779 Å, b = 3.8779 Å, c = 7.5676 Å
α = 90.00°, β = 90.00°, γ = 90.00°
Atoms (fractional coordinates):
Tl (0.0000, 0.0000, 0.7944)
Au (0.5000, 0.5000, 0.0000)
Tl (0.0000, 0.0000, 0.2056)
Ac (0.5000, 0.5000, 0.5000)

## Properties
Its space-group type is P4/mmm, No. 123.


Record 10
Entry from Alexandria via LeMat-Bulk: a relaxed structure of Ac5Tl4Au (PBE-GGA).

a = 3.9493 Å, b = 3.9493 Å, c = 21.8697 Å
α = 90.00°, β = 90.00°, γ = 90.00°
Atoms (fractional coordinates):
Tl (0.0000, 0.0000, 0.1901)
Ac (0.5000, 0.5000, 0.2934)
Ac (0.5000, 0.5000, 0.0867)
Ac (0.5000, 0.5000, 0.5000)
Ac (0.5000, 0.5000, 0.9133)
Tl (0.0000, 0.0000, 0.8099)
Tl (0.0000, 0.0000, 0.6036)
Au (0.0000, 0.0000, 0.0000)
Tl (0.0000, 0.0000, 0.3964)
Ac (0.5000, 0.5000, 0.7066)

## Properties
Its space-group type is P4/mmm, No. 123.


Record 11
Entry from Alexandria via LeMat-Bulk: a relaxed structure of Ac2TlAu (PBE-GGA).

a = 4.3951 Å, b = 4.3951 Å, c = 9.1824 Å
α = 76.15°, β = 76.15°, γ = 60.00°
Atoms (fractional coordinates):
Tl (0.5007, 0.5007, 0.4979)
Ac (0.0728, 0.0728, 0.7817)
Au (0.6664, 0.6664, 0.0009)
Ac (0.2602, 0.2602, 0.2195)

## Properties
Its space-group type is R3m, No. 160.


Record 12
Entry from Alexandria via LeMat-Bulk: a relaxed structure of Ac3Tl2Au8 (PBE-GGA).

a = 5.7397 Å, b = 5.7397 Å, c = 12.0936 Å
α = 76.27°, β = 76.27°, γ = 60.00°
Atoms (fractional coordinates):
Au (0.2665, 0.7727, 0.6944)
Au (0.7335, 0.2273, 0.3056)
Au (0.2838, 0.2838, 0.1485)
Au (0.7162, 0.7162, 0.8515)
Au (0.7335, 0.7335, 0.3056)
Ac (0.0000, 0.0000, 0.0000)
Au (0.7727, 0.2665, 0.6944)
Au (0.2665, 0.2665, 0.6944)
Tl (0.3656, 0.3656, 0.9032)
Au (0.2273, 0.7335, 0.3056)
Ac (0.1921, 0.1921, 0.4237)
Tl (0.6344, 0.6344, 0.0968)
Ac (0.8079, 0.8079, 0.5763)

## Properties
Its space-group type is R-3m, No. 166.


Record 13
Entry from Alexandria via LeMat-Bulk: a relaxed structure of Ac4Tl3Au5 (PBE-GGA).

a = 5.1115 Å, b = 7.9425 Å, c = 10.0270 Å
α = 79.79°, β = 75.23°, γ = 71.23°
Atoms (fractional coordinates):
Ac (0.9671, 0.2340, 0.8319)
Ac (0.7399, 0.2831, 0.2370)
Au (0.7106, 0.5946, 0.9843)
Tl (0.6767, 0.0701, 0.5765)
Tl (0.0000, 0.5000, 0.5000)
Tl (0.3233, 0.9299, 0.4235)
Au (0.2894, 0.4054, 0.0157)
Au (0.5897, 0.9545, 0.8662)
Au (0.5000, 0.5000, 0.5000)
Ac (0.2601, 0.7169, 0.7630)
Ac (0.0329, 0.7660, 0.1681)
Au (0.4103, 0.0455, 0.1338)

## Properties
Its space-group type is C2/m, No. 12.


Record 14
Entry from Alexandria via LeMat-Bulk: a relaxed structure of Ac4Tl2Au (PBE-GGA).

a = 4.1295 Å, b = 7.3583 Å, c = 9.8608 Å
α = 113.31°, β = 102.09°, γ = 90.00°
Atoms (fractional coordinates):
Ac (0.9085, 0.2539, 0.8171)
Ac (0.3737, 0.7081, 0.7474)
Tl (0.7439, 0.8088, 0.4879)
Au (0.0000, 0.0000, 0.0000)
Ac (0.0915, 0.7461, 0.1829)
Tl (0.2561, 0.1912, 0.5121)
Ac (0.6263, 0.2919, 0.2526)

## Properties
Its space-group type is C2/m, No. 12.


Record 15
Entry from Alexandria via LeMat-Bulk: a relaxed structure of Ac3Tl3Au2 (PBE-GGA).

a = 4.8869 Å, b = 6.3686 Å, c = 17.1122 Å
α = 90.00°, β = 90.00°, γ = 112.56°
Atoms (fractional coordinates):
Ac (0.0897, 0.1794, 0.8932)
Tl (0.6245, 0.2490, 0.0360)
Tl (0.3626, 0.7252, 0.2500)
Ac (0.9103, 0.8206, 0.3932)
Tl (0.6245, 0.2490, 0.4640)
Au (0.7986, 0.5971, 0.8858)
Ac (0.3530, 0.7060, 0.7500)
Ac (0.6470, 0.2940, 0.2500)
Au (0.2014, 0.4029, 0.3858)
Au (0.2014, 0.4029, 0.1142)
Ac (0.0897, 0.1794, 0.6068)
Tl (0.6374, 0.2748, 0.7500)
Ac (0.9103, 0.8206, 0.1068)
Au (0.7986, 0.5971, 0.6142)
Tl (0.3755, 0.7510, 0.9640)
Tl (0.3755, 0.7510, 0.5360)

## Properties
Its space-group type is Cmcm, No. 63.


Record 16
Entry from Alexandria via LeMat-Bulk: a relaxed structure of Ac3TlAu4 (PBE-GGA).

a = 4.2400 Å, b = 7.4431 Å, c = 8.9564 Å
α = 114.55°, β = 103.69°, γ = 90.00°
Atoms (fractional coordinates):
Au (0.3681, 0.5626, 0.7363)
Au (0.6319, 0.4374, 0.2637)
Ac (0.1869, 0.1869, 0.3738)
Au (0.6319, 0.8263, 0.2637)
Au (0.3681, 0.1737, 0.7363)
Tl (0.5000, 0.0000, 0.0000)
Ac (0.0000, 0.5000, 0.0000)
Ac (0.8131, 0.8131, 0.6262)

## Properties
Its space-group type is Immm, No. 71.


Record 17
Entry from Alexandria via LeMat-Bulk: a relaxed structure of Ac4TlAu3 (PBE-GGA).

a = 4.2561 Å, b = 5.0446 Å, c = 12.0264 Å
α = 90.00°, β = 90.00°, γ = 90.00°
Atoms (fractional coordinates):
Au (0.0000, 0.0000, 0.4170)
Ac (0.0000, 0.5000, 0.8554)
Au (0.0000, 0.5000, 0.5864)
Au (0.5000, 0.0000, 0.9076)
Ac (0.5000, 0.0000, 0.6341)
Ac (0.0000, 0.0000, 0.1443)
Tl (0.5000, 0.5000, 0.0824)
Ac (0.5000, 0.5000, 0.3727)

## Properties
Its space-group type is Pmm2, No. 25.


Record 18
Entry from Alexandria via LeMat-Bulk: a relaxed structure of AcTlAu3 (PBE-GGA).

a = 4.8700 Å, b = 3.9174 Å, c = 13.7549 Å
α = 98.19°, β = 90.00°, γ = 90.00°
Atoms (fractional coordinates):
Au (0.2500, 0.4755, 0.9511)
Au (0.7500, 0.3205, 0.6409)
Au (0.7500, 0.5245, 0.0489)
Au (0.2500, 0.6795, 0.3591)
Au (0.7500, 0.6261, 0.2523)
Ac (0.2500, 0.0776, 0.1552)
Au (0.2500, 0.3739, 0.7477)
Tl (0.2500, 0.7877, 0.5754)
Ac (0.7500, 0.9224, 0.8448)
Tl (0.7500, 0.2123, 0.4246)

## Properties
Its space-group type is Cmcm, No. 63.


Record 19
Entry from Alexandria via LeMat-Bulk: a relaxed structure of Ac3Tl3Au2 (PBE-GGA).

a = 4.1029 Å, b = 8.3943 Å, c = 8.3943 Å
α = 120.00°, β = 90.00°, γ = 90.00°
Atoms (fractional coordinates):
Ac (0.5000, 0.4080, 0.4080)
Tl (0.0000, 0.2293, 0.0000)
Au (0.0000, 0.6667, 0.3333)
Tl (0.0000, 0.0000, 0.2293)
Ac (0.5000, 0.0000, 0.5920)
Ac (0.5000, 0.5920, 0.0000)
Au (0.0000, 0.3333, 0.6667)
Tl (0.0000, 0.7707, 0.7707)

## Properties
Its space-group type is P-62m, No. 189.


Record 20
Entry from Alexandria via LeMat-Bulk: a relaxed structure of AcTl3Au8 (PBE-GGA).

a = 5.6835 Å, b = 5.6835 Å, c = 9.7667 Å
α = 90.00°, β = 90.00°, γ = 120.00°
Atoms (fractional coordinates):
Au (0.3333, 0.6667, 0.0012)
Au (0.3333, 0.6667, 0.5012)
Au (0.1654, 0.3309, 0.2538)
Au (0.9965, 0.4983, 0.7493)
Au (0.6691, 0.8346, 0.2538)
Au (0.5017, 0.0035, 0.7493)
Ac (0.0000, 0.0000, 0.5645)
Tl (0.6667, 0.3333, 0.0517)
Au (0.1654, 0.8346, 0.2538)
Au (0.5017, 0.4983, 0.7493)
Tl (0.6667, 0.3333, 0.4133)
Tl (0.0000, 0.0000, 0.9587)

## Properties
Its space-group type is P3m1, No. 156.


Values for energy relative to the elements, eV/atom, ordered as above
-0.562, -0.345, 0.076, -0.218, -0.373, -0.529, -0.286, -0.255, -0.165, -0.446, -0.448, -0.391, -0.481, -0.325, -0.502, -0.661, -0.670, -0.524, -0.567, -0.231